# CsMnGa2Cl8 PBE relaxed
data_CsMnGa2Cl8
_chemical_formula_sum 'Cs3 Mn3 Ga6 Cl24'
_space_group_name_H-M_alt 'R -3'
_space_group_IT_number 148
_space_group_name_Hall '-R 3'
_cell_length_a 6.5413
_cell_length_b 6.5413
_cell_length_c 29.2196
_cell_angle_alpha 90.00
_cell_angle_beta 90.00
_cell_angle_gamma 120.00
loop_
_atom_site_label
_atom_site_type_symbol
_atom_site_fract_x
_atom_site_fract_y
_atom_site_fract_z
_atom_site_occupancy
Cs1 Cs 0.0000 0.0000 0.0000 1
Mn1 Mn 0.0000 0.0000 0.5000 1
Ga1 Ga 0.0000 0.0000 0.2400 1
Cl1 Cl 0.0000 0.0000 0.3171 1
Cl2 Cl 0.0068 0.3201 0.4490 1
# **E**: -3.73 eV/atom
# **Formation energy (no corrections)**: -14.0 eV/f.u.
# **D(E_F)**: 3.924 states/eV/f.u.